(1)
{
  "formula": "Cd3Cl",
  "functional": "GGA-PBE",
  "state": "relaxed",
  "lattice_angstrom": [[-3.849, 3.886, 1.097], [-0.448, -4.632, 3.077], [5.199, 1.966, -0.476]],
  "species": ["Cl", "Cd", "Cd", "Cd"],
  "frac_coords": [[0.000, 0.500, 0.500], [0.000, 0.000, 0.000], [0.500, 0.000, 0.500], [0.500, 0.500, 0.000]],
  "dos_ef_per_ev_cell": 1.28,
  "e_tot_ev_per_atom": -1.3454
}


(2)
{
  "formula": "CdCl4",
  "functional": "GGA-PBE",
  "state": "relaxed",
  "lattice_angstrom": [[-3.869, 5.710, 4.036], [1.353, -7.315, 2.919], [4.519, 1.639, 2.014]],
  "species": ["Cd", "Cd", "Cl", "Cl", "Cl", "Cl", "Cl", "Cl", "Cl", "Cl"],
  "frac_coords": [[0.500, 0.500, 0.500], [0.000, 0.000, 0.000], [0.644, 0.856, 0.250], [0.856, 0.644, 0.750], [0.356, 0.144, 0.750], [0.144, 0.356, 0.250], [0.371, 0.629, 0.847], [0.629, 0.371, 0.153], [0.129, 0.871, 0.347], [0.871, 0.129, 0.653]],
  "dos_ef_per_ev_cell": 0.42,
  "e_tot_ev_per_atom": -1.9907
}


(3)
{
  "formula": "Cd3Cl",
  "functional": "GGA-PBE",
  "state": "relaxed",
  "lattice_angstrom": [[5.883, 0.000, 0.000], [0.000, 5.883, 0.000], [0.000, 0.000, 5.883]],
  "species": ["Cd", "Cd", "Cd", "Cd", "Cd", "Cd", "Cl", "Cl"],
  "frac_coords": [[0.750, 0.500, 0.000], [0.250, 0.500, 0.000], [0.000, 0.750, 0.500], [0.000, 0.250, 0.500], [0.500, 0.000, 0.250], [0.500, 0.000, 0.750], [0.000, 0.000, 0.000], [0.500, 0.500, 0.500]],
  "dos_ef_per_ev_cell": 3.96,
  "e_tot_ev_per_atom": -1.2551
}


Number 1 is which compound? Cd3Cl


Number 2 is which compound? CdCl4